Entry 1:
This record from Alexandria describes a relaxed structure of SiPdO2F. The functional is GGA-PBE.

Uncorrected formation energy = -166 meV/atom
E = -23.23 eV/f.u.

The structure in POSCAR format:
```
SiPdO2F
1.0
4.034 0.000 0.000
0.000 4.034 0.000
0.000 0.000 4.030
Si O Pd F
1 2 1 1
Direct
0.500 0.500 0.500
0.000 0.500 0.000
0.500 0.000 0.000
0.000 0.000 0.000
0.000 0.000 0.500
```

---

Entry 2:
This record from Alexandria describes a relaxed structure of BeBiHPbN. The functional is GGA-PBE.

E = -23.51 eV/f.u.
Relative energy among the computed polymorphs = 0.000 eV/atom

The structure in POSCAR format:
```
BeBiHPbN
1.0
-3.092 1.023 -0.874
-0.279 -2.435 -1.864
-4.977 -9.911 13.689
Be Bi H Pb N
2 2 2 2 2
Direct
0.863 0.000 0.873
0.863 0.500 0.373
0.387 0.000 0.735
0.387 0.500 0.235
0.254 0.000 0.419
0.254 0.500 0.919
0.901 0.000 0.552
0.901 0.500 0.052
0.948 0.000 0.405
0.948 0.500 0.905
```

---

Entry 3:
This record from Alexandria describes a relaxed structure of SnTe2AsN. The functional is GGA-PBE.

Uncorrected formation energy = 960 meV/atom
E = -18.46 eV/f.u.
Relative energy among the computed polymorphs = 0.334 eV/atom

The structure in POSCAR format:
```
SnTe2AsN
1.0
5.814 0.000 0.000
0.000 5.814 0.000
0.000 0.000 3.903
As Te Sn N
1 2 1 1
Direct
0.500 0.500 0.500
0.000 0.500 0.000
0.500 0.000 0.000
0.000 0.000 0.000
0.000 0.000 0.500
```

---

Entry 4:
This record from Alexandria describes a relaxed structure of LaAlZnAg6. The functional is GGA-PBE.

E = -25.18 eV/f.u.
ΔE_f = 1.9 eV per formula unit

The structure in POSCAR format:
```
LaAlZnAg6
1.0
8.319 0.000 0.000
0.000 8.569 0.000
-4.160 -4.284 5.993
La Al Zn Ag
2 2 2 12
Direct
0.867 0.617 0.735
0.133 0.383 0.265
0.500 0.000 0.500
0.000 0.000 0.500
0.500 0.500 0.000
0.500 0.000 0.000
0.384 0.634 0.767
0.874 0.124 0.749
0.873 0.120 0.252
0.379 0.632 0.252
0.379 0.120 0.252
0.873 0.632 0.252
0.616 0.366 0.233
0.126 0.876 0.251
0.127 0.880 0.748
0.621 0.368 0.748
0.621 0.880 0.748
0.127 0.368 0.748
```

---

Entry 5:
This record from Alexandria describes a relaxed structure of HgBiSbBr. The functional is GGA-PBE.

Uncorrected formation energy = -110 meV/atom
E = -10.42 eV/f.u.

The structure in POSCAR format:
```
HgBiSbBr
1.0
-3.015 3.115 0.852
-2.592 1.512 -3.244
-5.856 -6.160 1.810
Hg Bi Sb Br
1 1 1 1
Direct
0.355 0.316 0.986
0.688 0.650 0.461
0.354 0.317 0.645
0.021 0.983 0.204
```

---

Entry 6:
This record from Alexandria describes a relaxed structure of Cs2IBr2. The functional is GGA-PBE.

Uncorrected formation energy = -1213 meV/atom
E = -12.67 eV/f.u.
Relative energy among the computed polymorphs = 0.085 eV/atom

The structure in POSCAR format:
```
Cs2IBr2
1.0
10.736 0.000 0.000
0.000 10.736 0.000
0.000 0.000 3.852
Cs I Br
4 2 4
Direct
0.342 0.842 0.000
0.842 0.658 0.000
0.658 0.158 0.000
0.158 0.342 0.000
0.000 0.000 0.000
0.500 0.500 0.000
0.137 0.637 0.500
0.637 0.863 0.500
0.863 0.363 0.500
0.363 0.137 0.500
```